*i*
# Tl2OF2

An optimized crystal structure of Tl2OF2 (GGA-PBE, the Alexandria database).

Cell lengths 5.026, 5.026, 7.894 Å; angles 90.00, 90.00, 90.00 degrees
Space group I4/mmm (No. 139)
One atom of each set of equivalent atoms:
Tl (0.000, 0.500, 0.250) x4
O (0.000, 0.000, 0.000) x2
F (0.000, 0.000, 0.323) x4

*ii*
# Tl2OF2

An optimized crystal structure of Tl2OF2 (GGA-PBE, the Alexandria database).

Cell lengths 3.475, 12.152, 8.816 Å; angles 90.00, 90.00, 90.00 degrees
Space group Cmc2_1 (No. 36)
One atom of each set of equivalent atoms:
Tl (0.000, 0.023, 0.000) x4
Tl (0.000, 0.259, 0.255) x4
O (0.000, 0.373, 0.522) x4
F (0.000, 0.066, 0.734) x4
F (0.000, 0.394, 0.951) x4

Which of them is the most stable, and which is the least stable? *ii* and *i*, in that order.

*i*
# Tl3O2F

An optimized crystal structure of Tl3O2F (GGA-PBE, the Alexandria database).

Cell lengths 17.862, 5.259, 5.258 Å; angles 90.00, 90.00, 90.00 degrees
Space group Cmcm (No. 63)
One atom of each set of equivalent atoms:
Tl (0.000, 0.250, 0.250) x4
Tl (0.162, 0.250, 0.750) x8
O (0.112, 0.250, 0.250) x8
F (0.000, 0.250, 0.750) x4

*ii*
# Tl3O2F

An optimized crystal structure of Tl3O2F (GGA-PBE, the Alexandria database).

Cell lengths 12.545, 5.746, 6.932 Å; angles 90.00, 106.48, 90.00 degrees
Space group C2/c (No. 15)
One atom of each set of equivalent atoms:
Tl (0.000, 0.003, 0.250) x4
Tl (0.173, 0.486, 0.587) x8
O (0.119, 0.066, 0.528) x8
F (0.000, 0.430, 0.750) x4

Which of them is the most stable, and which is the least stable? *i* and *ii*, in that order.

*i*
# Tl2OF

An optimized crystal structure of Tl2OF (GGA-PBE, the Alexandria database).

Cell lengths 5.817, 5.817, 11.447 Å; angles 90.00, 90.00, 90.00 degrees
Space group I-42d (No. 122)
One atom of each set of equivalent atoms:
Tl (0.226, 0.250, 0.125) x8
O (0.000, 0.000, 0.000) x4
F (0.000, 0.000, 0.500) x4

*ii*
# Tl2OF

An optimized crystal structure of Tl2OF (GGA-PBE, the Alexandria database).

Cell lengths 3.8475, 3.8475, 21.5079 Å; angles 90.00, 90.00, 120.00 degrees
Space group R3m (No. 160, hexagonal axes)
One atom of each set of equivalent atoms:
Tl (0.0000, 0.0000, 0.0000) x3
Tl (0.0000, 0.0000, 0.1781) x3
O (0.0000, 0.0000, 0.6400) x3
F (0.0000, 0.0000, 0.4517) x3

Which of them is the most stable, and which is the least stable? *ii* and *i*, in that order.

*i*
# YTlOF2

An optimized crystal structure of YTlOF2 (GGA-PBE, the Alexandria database).

Cell lengths 4.521, 4.521, 4.406 Å; angles 90.00, 90.00, 90.00 degrees
Space group P4/mmm (No. 123)
One atom of each set of equivalent atoms:
Y (0.000, 0.000, 0.000) x1
Tl (0.500, 0.500, 0.500) x1
O (0.000, 0.000, 0.500) x1
F (0.000, 0.500, 0.000) x2

*ii*
# YTlOF2

An optimized crystal structure of YTlOF2 (GGA-PBE, the Alexandria database).

Cell lengths 4.654, 4.654, 4.378 Å; angles 90.00, 90.00, 90.00 degrees
Space group P4/mmm (No. 123)
One atom of each set of equivalent atoms:
Y (0.000, 0.000, 0.000) x1
Tl (0.500, 0.500, 0.500) x1
O (0.500, 0.500, 0.000) x1
F (0.000, 0.500, 0.500) x2

Which of them is the most stable, and which is the least stable? *i* and *ii*, in that order.

*i*
# ZrTlOF2

An optimized crystal structure of ZrTlOF2 (GGA-PBE, the Alexandria database).

Cell lengths 4.591, 4.591, 4.325 Å; angles 90.00, 90.00, 90.00 degrees
Space group P4/mmm (No. 123)
One atom of each set of equivalent atoms:
Zr (0.000, 0.000, 0.000) x1
Tl (0.500, 0.500, 0.500) x1
O (0.500, 0.500, 0.000) x1
F (0.000, 0.500, 0.500) x2

*ii*
# ZrTlOF2

An optimized crystal structure of ZrTlOF2 (GGA-PBE, the Alexandria database).

Cell lengths 4.492, 4.492, 4.141 Å; angles 90.00, 90.00, 90.00 degrees
Space group P4/mmm (No. 123)
One atom of each set of equivalent atoms:
Zr (0.000, 0.000, 0.000) x1
Tl (0.500, 0.500, 0.500) x1
O (0.000, 0.000, 0.500) x1
F (0.000, 0.500, 0.000) x2

Which of them is the most stable, and which is the least stable? *ii* and *i*, in that order.